VASP calculation (PBE) on a relaxed structure of CdIrCl2.

Geometry as POSCAR:
```
CdIrCl2
1.0
0.000 3.354 3.354
3.354 0.000 3.354
3.354 3.354 0.000
Cd Ir Cl
1 1 2
direct
0.000 0.000 0.000
0.500 0.500 0.500
0.250 0.250 0.250
0.750 0.750 0.750
```

Summary:
Total magnetization, μB/f.u.: 1.207
DOS at the Fermi energy, states/eV per atom: 1.186
Offset from the most stable computed form, eV/atom: 0.8150

***

VASP calculation (PBE) on a relaxed structure of CdIrCl2.

Geometry as POSCAR:
```
CdIrCl2
1.0
-3.416 3.416 5.511
3.416 -3.416 5.511
3.416 3.416 -5.511
Cd Ir Cl
2 2 4
direct
0.000 0.000 0.000
0.750 0.250 0.500
0.250 0.750 0.500
0.500 0.500 0.000
0.270 0.625 0.145
0.375 0.520 0.645
0.480 0.125 0.855
0.875 0.730 0.355
```

Summary:
Total magnetization, μB/f.u.: 0.000
DOS at the Fermi energy, states/eV per atom: 1.090
Offset from the most stable computed form, eV/atom: 0.5678

***

VASP calculation (PBE) on a relaxed structure of CdIr2Cl.

Geometry as POSCAR:
```
CdIr2Cl
1.0
1.467 0.847 8.674
-1.467 0.847 8.674
0.000 -1.694 8.674
Cd Ir Cl
1 2 1
direct
0.000 0.000 0.000
0.245 0.245 0.245
0.755 0.755 0.755
0.500 0.500 0.500
```

Summary:
Total magnetization, μB/f.u.: 0.000
DOS at the Fermi energy, states/eV per atom: 1.414
Offset from the most stable computed form, eV/atom: 0.3881

***

VASP calculation (PBE) on a relaxed structure of CdIrCl2.

Geometry as POSCAR:
```
CdIrCl2
1.0
1.499 0.865 10.358
-1.499 0.865 10.358
0.000 -1.731 10.358
Cd Ir Cl
1 1 2
direct
0.000 0.000 0.000
0.500 0.500 0.500
0.428 0.428 0.428
0.572 0.572 0.572
```

Summary:
Total magnetization, μB/f.u.: 0.000
DOS at the Fermi energy, states/eV per atom: 1.037
Offset from the most stable computed form, eV/atom: 0.2542

***

VASP calculation (PBE) on a relaxed structure of CdIrCl2.

Geometry as POSCAR:
```
CdIrCl2
1.0
1.824 1.053 9.175
-1.824 1.053 9.175
0.000 -2.107 9.175
Cd Ir Cl
1 1 2
direct
0.000 0.000 0.000
0.500 0.500 0.500
0.213 0.213 0.213
0.787 0.787 0.787
```

Summary:
Total magnetization, μB/f.u.: 1.034
DOS at the Fermi energy, states/eV per atom: 0.852
Offset from the most stable computed form, eV/atom: 0.4121

***

VASP calculation (PBE) on a relaxed structure of CdIrCl2.

Geometry as POSCAR:
```
CdIrCl2
1.0
1.820 1.051 9.674
-1.820 1.051 9.674
0.000 -2.102 9.674
Cd Ir Cl
1 1 2
direct
0.000 0.000 0.000
0.500 0.500 0.500
0.122 0.122 0.122
0.878 0.878 0.878
```

Summary:
Total magnetization, μB/f.u.: 1.000
DOS at the Fermi energy, states/eV per atom: 1.222
Offset from the most stable computed form, eV/atom: 0.4195

***

VASP calculation (PBE) on a relaxed structure of CdIr2Cl.

Geometry as POSCAR:
```
CdIr2Cl
1.0
1.418 -2.565 0.000
1.418 2.565 0.000
0.000 0.000 9.050
Cd Ir Cl
1 2 1
direct
0.000 0.000 0.000
0.500 0.500 0.265
0.500 0.500 0.735
0.000 0.000 0.500
```

Summary:
Total magnetization, μB/f.u.: 0.000
DOS at the Fermi energy, states/eV per atom: 0.983
Offset from the most stable computed form, eV/atom: 0.3998

***

VASP calculation (PBE) on a relaxed structure of CdIr2Cl.

Geometry as POSCAR:
```
CdIr2Cl
1.0
1.462 0.844 9.813
-1.462 0.844 9.813
0.000 -1.688 9.813
Cd Ir Cl
1 2 1
direct
0.000 0.000 0.000
0.252 0.252 0.252
0.516 0.516 0.516
0.783 0.783 0.783
```

Summary:
Total magnetization, μB/f.u.: 0.000
DOS at the Fermi energy, states/eV per atom: 1.445
Offset from the most stable computed form, eV/atom: 0.1506

***

VASP calculation (PBE) on a relaxed structure of CdIr2Cl.

Geometry as POSCAR:
```
CdIr2Cl
1.0
-1.437 2.532 4.895
1.437 -2.532 4.895
1.437 2.532 -4.895
Cd Ir Cl
1 2 1
direct
0.000 0.000 0.000
0.502 0.502 0.000
0.721 0.221 0.500
0.294 0.794 0.500
```

Summary:
Total magnetization, μB/f.u.: 0.825
DOS at the Fermi energy, states/eV per atom: 1.217
Offset from the most stable computed form, eV/atom: 0.4874

***

VASP calculation (PBE) on a relaxed structure of CdIrCl2.

Geometry as POSCAR:
```
CdIrCl2
1.0
1.768 1.021 8.267
-1.768 1.021 8.267
0.000 -2.041 8.267
Cd Ir Cl
1 1 2
direct
0.000 0.000 0.000
0.253 0.253 0.253
0.534 0.534 0.534
0.735 0.735 0.735
```

Summary:
Total magnetization, μB/f.u.: 1.009
DOS at the Fermi energy, states/eV per atom: 0.696
Offset from the most stable computed form, eV/atom: 0.1310

***

VASP calculation (PBE) on a relaxed structure of Cd2IrCl2.

Geometry as POSCAR:
```
Cd2IrCl2
1.0
8.071 0.000 0.000
0.000 8.071 0.000
0.000 0.000 3.257
Cd Ir Cl
4 2 4
direct
0.183 0.317 0.000
0.317 0.817 0.000
0.683 0.183 0.000
0.817 0.683 0.000
0.000 0.000 0.000
0.500 0.500 0.000
0.127 0.627 0.500
0.373 0.127 0.500
0.627 0.873 0.500
0.873 0.373 0.500
```

Summary:
Total magnetization, μB/f.u.: 0.640
DOS at the Fermi energy, states/eV per atom: 0.518
Offset from the most stable computed form, eV/atom: 0.0000

***

VASP calculation (PBE) on a relaxed structure of Cd2IrCl2.

Geometry as POSCAR:
```
Cd2IrCl2
1.0
-2.118 2.118 6.246
2.118 -2.118 6.246
2.118 2.118 -6.246
Cd Ir Cl
2 1 2
direct
0.110 0.110 0.000
0.890 0.890 0.000
0.500 0.500 0.000
0.250 0.750 0.500
0.750 0.250 0.500
```

Summary:
Total magnetization, μB/f.u.: 1.254
DOS at the Fermi energy, states/eV per atom: 0.247
Offset from the most stable computed form, eV/atom: 0.0285

***

VASP calculation (PBE) on a relaxed structure of CdIrCl2.

Geometry as POSCAR:
```
CdIrCl2
1.0
1.707 -2.893 0.000
1.707 2.893 0.000
0.000 0.000 9.000
Cd Ir Cl
1 1 2
direct
0.000 0.000 0.000
0.500 0.500 0.241
0.000 0.000 0.416
0.500 0.500 0.793
```

Summary:
Total magnetization, μB/f.u.: 0.000
DOS at the Fermi energy, states/eV per atom: 0.656
Offset from the most stable computed form, eV/atom: 0.2064

***

VASP calculation (PBE) on a relaxed structure of Cd3IrCl.

Geometry as POSCAR:
```
Cd3IrCl
1.0
4.992 0.000 0.000
0.000 4.992 0.000
0.000 0.000 4.992
Cd Ir Cl
3 1 1
direct
0.000 0.000 0.500
0.000 0.500 0.000
0.500 0.000 0.000
0.500 0.500 0.500
0.000 0.000 0.000
```

Summary:
Total magnetization, μB/f.u.: 0.000
DOS at the Fermi energy, states/eV per atom: 0.605
Offset from the most stable computed form, eV/atom: 0.8847

***

VASP calculation (PBE) on a relaxed structure of CdIr3Cl.

Geometry as POSCAR:
```
CdIr3Cl
1.0
4.466 0.000 0.000
0.000 4.466 0.000
0.000 0.000 4.466
Cd Ir Cl
1 3 1
direct
0.000 0.000 0.000
0.000 0.500 0.500
0.500 0.000 0.500
0.500 0.500 0.000
0.500 0.500 0.500
```

Summary:
Total magnetization, μB/f.u.: 0.000
DOS at the Fermi energy, states/eV per atom: 0.946
Offset from the most stable computed form, eV/atom: 0.0000

***

VASP calculation (PBE) on a relaxed structure of CdIrCl2.

Geometry as POSCAR:
```
CdIrCl2
1.0
3.012 -3.818 0.000
3.012 3.818 0.000
0.000 0.000 3.272
Cd Ir Cl
1 1 2
direct
0.000 0.000 0.000
0.500 0.500 0.000
0.000 0.500 0.500
0.500 0.000 0.500
```

Summary:
Total magnetization, μB/f.u.: 0.961
DOS at the Fermi energy, states/eV per atom: 0.870
Offset from the most stable computed form, eV/atom: 0.8359

***

VASP calculation (PBE) on a relaxed structure of CdIr2Cl.

Geometry as POSCAR:
```
CdIr2Cl
1.0
2.825 -4.228 0.000
2.825 4.228 0.000
0.000 0.000 2.821
Cd Ir Cl
1 2 1
direct
0.000 0.000 0.000
0.000 0.500 0.500
0.500 0.000 0.500
0.500 0.500 0.000
```

Summary:
Total magnetization, μB/f.u.: 0.000
DOS at the Fermi energy, states/eV per atom: 1.330
Offset from the most stable computed form, eV/atom: 0.7106

***

VASP calculation (PBE) on a relaxed structure of CdIr2Cl.

Geometry as POSCAR:
```
CdIr2Cl
1.0
-1.811 1.811 6.080
1.811 -1.811 6.080
1.811 1.811 -6.080
Cd Ir Cl
1 2 1
direct
0.000 0.000 0.000
0.250 0.750 0.500
0.750 0.250 0.500
0.500 0.500 0.000
```

Summary:
Total magnetization, μB/f.u.: 0.000
DOS at the Fermi energy, states/eV per atom: 0.748
Offset from the most stable computed form, eV/atom: 0.5455

***

VASP calculation (PBE) on a relaxed structure of CdIrCl2.

Geometry as POSCAR:
```
CdIrCl2
1.0
0.000 3.389 3.389
3.389 0.000 3.389
3.389 3.389 0.000
Cd Ir Cl
1 1 2
direct
0.000 0.000 0.000
0.750 0.750 0.750
0.250 0.250 0.250
0.500 0.500 0.500
```

Summary:
Total magnetization, μB/f.u.: 1.362
DOS at the Fermi energy, states/eV per atom: 1.754
Offset from the most stable computed form, eV/atom: 0.9502

***

VASP calculation (PBE) on a relaxed structure of CdIrCl2.

Geometry as POSCAR:
```
CdIrCl2
1.0
3.076 0.000 0.000
0.000 4.298 0.000
0.000 0.000 5.713
Cd Ir Cl
1 1 2
direct
0.000 0.000 0.000
0.500 0.000 0.500
0.000 0.500 0.500
0.500 0.500 0.000
```

Summary:
Total magnetization, μB/f.u.: 0.000
DOS at the Fermi energy, states/eV per atom: 0.687
Offset from the most stable computed form, eV/atom: 0.5275

***

VASP calculation (PBE) on a relaxed structure of CdIrCl2.

Geometry as POSCAR:
```
CdIrCl2
1.0
3.520 0.000 0.000
0.000 3.520 0.000
0.000 0.000 6.219
Cd Ir Cl
1 1 2
direct
0.000 0.000 0.000
0.000 0.000 0.500
0.500 0.500 0.261
0.500 0.500 0.739
```

Summary:
Total magnetization, μB/f.u.: 1.274
DOS at the Fermi energy, states/eV per atom: 0.837
Offset from the most stable computed form, eV/atom: 0.8726

***

VASP calculation (PBE) on a relaxed structure of CdIrCl2.

Geometry as POSCAR:
```
CdIrCl2
1.0
1.673 -2.872 0.000
1.673 2.872 0.000
0.000 0.000 9.627
Cd Ir Cl
1 1 2
direct
0.000 0.000 0.000
0.000 0.000 0.500
0.500 0.500 0.327
0.500 0.500 0.673
```

Summary:
Total magnetization, μB/f.u.: 0.000
DOS at the Fermi energy, states/eV per atom: 0.495
Offset from the most stable computed form, eV/atom: 0.3212

***

VASP calculation (PBE) on a relaxed structure of CdIrCl2.

Geometry as POSCAR:
```
CdIrCl2
1.0
-1.543 1.978 7.399
1.543 -1.978 7.399
1.543 1.978 -7.399
Cd Ir Cl
1 1 2
direct
0.000 0.000 0.000
0.157 0.657 0.500
0.411 0.411 0.000
0.677 0.177 0.500
```

Summary:
Total magnetization, μB/f.u.: 0.000
DOS at the Fermi energy, states/eV per atom: 0.338
Offset from the most stable computed form, eV/atom: 0.2856

***

VASP calculation (PBE) on a relaxed structure of Nb2CdIrCl.

Geometry as POSCAR:
```
Nb2CdIrCl
1.0
5.137 0.000 0.000
0.000 5.137 0.000
0.000 0.000 4.604
Nb Cd Ir Cl
2 1 1 1
direct
0.000 0.500 0.000
0.500 0.000 0.000
0.000 0.000 0.000
0.500 0.500 0.500
0.000 0.000 0.500
```

Summary:
Total magnetization, μB/f.u.: 0.534
Calculated total energy, eV per atom: -4.12
DOS at the Fermi energy, states/eV per atom: 2.007

***

VASP calculation (PBE) on a relaxed structure of CdP2IrCl.

Geometry as POSCAR:
```
CdP2IrCl
1.0
4.569 0.000 0.000
0.000 4.569 0.000
0.000 0.000 5.278
Cd P Ir Cl
1 2 1 1
direct
0.000 0.000 0.000
0.000 0.500 0.500
0.500 0.000 0.500
0.500 0.500 0.500
0.500 0.500 0.000
```

Summary:
Total magnetization, μB/f.u.: 0.000
DOS at the Fermi energy, states/eV per atom: 0.795
Offset from the most stable computed form, eV/atom: 0.0000

***

VASP calculation (PBE) on a relaxed structure of CdPIrCl2.

Geometry as POSCAR:
```
CdPIrCl2
1.0
5.047 0.000 0.000
0.000 5.047 0.000
0.000 0.000 4.490
Cd P Ir Cl
1 1 1 2
direct
0.000 0.000 0.000
0.500 0.500 0.000
0.500 0.500 0.500
0.000 0.500 0.500
0.500 0.000 0.500
```

Summary:
Total magnetization, μB/f.u.: 0.000
DOS at the Fermi energy, states/eV per atom: 0.507
Offset from the most stable computed form, eV/atom: 0.0000

***

VASP calculation (PBE) on a relaxed structure of CdPIrCl2.

Geometry as POSCAR:
```
CdPIrCl2
1.0
4.869 0.000 0.000
0.000 4.869 0.000
0.000 0.000 5.526
Cd P Ir Cl
1 1 1 2
direct
0.000 0.000 0.000
0.000 0.000 0.500
0.500 0.500 0.500
0.000 0.500 0.000
0.500 0.000 0.000
```

Summary:
Total magnetization, μB/f.u.: 1.595
DOS at the Fermi energy, states/eV per atom: 1.881
Offset from the most stable computed form, eV/atom: 1.0618

***

VASP calculation (PBE) on a relaxed structure of CdP2IrCl.

Geometry as POSCAR:
```
CdP2IrCl
1.0
4.905 0.000 0.000
0.000 4.905 0.000
0.000 0.000 4.913
Cd P Ir Cl
1 2 1 1
direct
0.000 0.000 0.000
0.000 0.500 0.000
0.500 0.000 0.000
0.500 0.500 0.500
0.000 0.000 0.500
```

Summary:
Total magnetization, μB/f.u.: 1.202
DOS at the Fermi energy, states/eV per atom: 1.158
Offset from the most stable computed form, eV/atom: 1.2947

***

VASP calculation (PBE) on a relaxed structure of CdP2IrCl.

Geometry as POSCAR:
```
CdP2IrCl
1.0
4.637 0.000 0.000
0.000 4.637 0.000
0.000 0.000 4.531
Cd P Ir Cl
1 2 1 1
direct
0.000 0.000 0.000
0.000 0.500 0.500
0.500 0.000 0.500
0.500 0.500 0.000
0.500 0.500 0.500
```

Summary:
Total magnetization, μB/f.u.: 0.000
DOS at the Fermi energy, states/eV per atom: 0.845
Offset from the most stable computed form, eV/atom: 1.0113